w) Compound: ZrCr2W
Source: the Alexandria database
Functional: PBE
Structure: optimized geometry

Cell: 3.097 3.097 6.367 Å, 90.00 90.00 90.00°
Positions (direct):
Cr1 0.000 0.000 0.021
Cr2 0.000 0.000 0.479
W1 0.500 0.500 0.250
Zr1 0.500 0.500 0.750

Computed properties:
density	10308	kg/m³
density of states at the Fermi level	4.5	states/eV/f.u.
SG	No. 123



x) Compound: ZrCr2W
Source: the Alexandria database
Functional: PBE
Structure: optimized geometry

Cell: 2.746 2.746 8.672 Å, 90.00 90.00 111.25°
Positions (direct):
Cr1 0.000 0.000 0.032
Cr2 0.500 0.500 0.234
W1 0.000 0.000 0.471
Zr1 0.500 0.500 0.763

Computed properties:
density	10326	kg/m³
density of states at the Fermi level	2.9	states/eV/f.u.
SG	No. 35



y) Compound: ZrCr2W
Source: the Alexandria database
Functional: PBE
Structure: optimized geometry

Cell: 2.762 2.762 8.610 Å, 90.00 90.00 110.98°
Positions (direct):
Cr1 0.000 0.000 0.017
Cr2 0.000 0.000 0.483
W1 0.500 0.500 0.250
Zr1 0.500 0.500 0.750

Computed properties:
density	10264	kg/m³
density of states at the Fermi level	3.4	states/eV/f.u.
SG	No. 65



The most stable arrangement is w), and the next structure is 109 meV per atom less stable.